1.
This record from the Open Quantum Materials Database describes crystalline Cs2Hg2BiP at its relaxed geometry. The functional is PBE.

Space group = P-6m2 (187)
Final energy = -2.195 eV per atom

```
6
Lattice="4.8702 0.0000 0.0000 -2.4351 4.2177 0.0000 0.0000 0.0000 11.7154" Properties=species:S:1:pos:R:3 pbc="T T T"
Cs 0.0000 0.0000 2.7050
Cs 0.0000 0.0000 9.0104
Hg 0.0000 2.8118 0.0000
Hg 2.4351 1.4059 5.8577
Bi 0.0000 2.8118 5.8577
P 2.4351 1.4059 0.0000
```

2.
This record from the Open Quantum Materials Database describes crystalline CsRbHg2Bi2 at its relaxed geometry. The functional is PBE.

Space group = P4mm (99)
Final energy = -2.003 eV per atom

```
6
Lattice="5.1679 0.0000 0.0000 0.0000 5.1679 0.0000 0.0000 0.0000 8.7876" Properties=species:S:1:pos:R:3 pbc="T T T"
Cs 0.0000 0.0000 0.0000
Rb 2.5840 2.5840 3.0107
Hg 0.0000 2.5840 5.8305
Hg 2.5840 0.0000 5.8305
Bi 0.0000 0.0000 4.0899
Bi 2.5840 2.5840 7.5711
```

3.
This record from the Open Quantum Materials Database describes crystalline CsHgBiS3 at its relaxed geometry. The functional is PBE.

Space group = Cmcm (63)
Final energy = -3.477 eV per atom

```
12
Lattice="2.1325 -7.8225 0.0000 2.1325 7.8225 0.0000 0.0000 0.0000 11.0067" Properties=species:S:1:pos:R:3 pbc="T T T"
Cs 2.1325 4.1212 8.2550
Cs 2.1325 -4.1212 2.7517
Hg 2.1325 7.0330 2.7517
Hg 2.1325 -7.0330 8.2550
Bi 2.1325 0.0000 0.0000
Bi 2.1325 0.0000 5.5033
S 2.1325 5.9493 0.4852
S 2.1325 5.9493 5.0182
S 2.1325 0.8747 2.7517
S 2.1325 -0.8747 8.2550
S 2.1325 -5.9493 5.9885
S 2.1325 -5.9493 10.5215
```

4.
This record from the Open Quantum Materials Database describes crystalline Cs2Hg2BiSb at its relaxed geometry. The functional is PBE.

Space group = P-6m2 (187)
ΔE to the lowest computed polymorph = 0 meV per atom

```
6
Lattice="5.0358 0.0000 0.0000 -2.5179 4.3611 0.0000 0.0000 0.0000 11.8966" Properties=species:S:1:pos:R:3 pbc="T T T"
Cs 0.0000 0.0000 2.9645
Cs 0.0000 0.0000 8.9322
Hg 0.0000 2.9074 0.0000
Hg 2.5179 1.4537 5.9483
Bi 0.0000 2.9074 5.9483
Sb 2.5179 1.4537 0.0000
```

5.
This record from the Open Quantum Materials Database describes crystalline Cs2Hg2BiSb at its relaxed geometry. The functional is PBE.

Space group = P3m1 (156)
ΔE to the lowest computed polymorph = 4 meV per atom

```
6
Lattice="5.0141 0.0000 0.0000 -2.5070 4.3423 0.0000 0.0000 0.0000 11.6281" Properties=species:S:1:pos:R:3 pbc="T T T"
Cs 0.0000 0.0000 0.0000
Cs 0.0000 0.0000 5.7009
Hg 0.0000 2.8949 2.7987
Hg 2.5070 1.4474 8.8789
Bi 0.0000 2.8949 8.5754
Sb 2.5070 1.4474 2.8717
```

6.
This record from the Open Quantum Materials Database describes crystalline CsHgBiSe3 at its relaxed geometry. The functional is PBE.

Space group = Cmcm (63)
Final energy = -3.205 eV per atom

```
12
Lattice="2.2044 -8.1109 0.0000 2.2044 8.1109 0.0000 0.0000 0.0000 11.3938" Properties=species:S:1:pos:R:3 pbc="T T T"
Cs 2.2044 4.1673 8.5454
Cs 2.2044 -4.1673 2.8485
Hg 2.2044 7.3507 2.8485
Hg 2.2044 -7.3507 8.5454
Bi 2.2044 0.0000 0.0000
Bi 2.2044 0.0000 5.6969
Se 2.2044 6.1371 0.4915
Se 2.2044 6.1371 5.2055
Se 2.2044 0.9647 2.8485
Se 2.2044 -0.9647 8.5454
Se 2.2044 -6.1371 6.1884
Se 2.2044 -6.1371 10.9024
```

7.
This record from the Open Quantum Materials Database describes crystalline CsBiIr at its relaxed geometry. The functional is PBE.

Space group = F-43m (216)
ΔE to the lowest computed polymorph = 396 meV per atom

```
3
Lattice="0.0000 3.7095 3.7095 3.7095 0.0000 3.7095 3.7095 3.7095 0.0000" Properties=species:S:1:pos:R:3 pbc="T T T"
Cs 0.0000 0.0000 0.0000
Bi 1.8548 1.8548 1.8548
Ir 3.7095 3.7095 3.7095
```

8.
This record from the Open Quantum Materials Database describes crystalline CsBiIr at its relaxed geometry. The functional is PBE.

Space group = F-43m (216)
ΔE to the lowest computed polymorph = 0 meV per atom

```
3
Lattice="0.0000 3.6095 3.6095 3.6095 0.0000 3.6095 3.6095 3.6095 0.0000" Properties=species:S:1:pos:R:3 pbc="T T T"
Cs 0.0000 0.0000 0.0000
Bi 3.6095 3.6095 3.6095
Ir 5.4143 5.4143 5.4143
```